Material: CsZn2Sb2
Method: DFT, GGA-PBE
State: relaxed

It has space group P4/mbm (No. 127), with a = 8.923 Å, b = 8.923 Å, c = 3.445 Å, α = 90.00°, β = 90.00° and γ = 90.00°. The inequivalent atoms are Cs at (0.000, 0.000, 0.000), Zn at (0.123, 0.377, 0.000) and Sb at (0.152, 0.652, 0.500).

The total energy comes out at -0.084 hartree per atom. The calculation puts the density of states at the Fermi level at 1.525 states/eV/f.u.